SmZn2Pb | GGA-PBE | optimized geometry

Properties
As for the formation enthalpy at 0 K: -0.28 eV per atom. The total magnetic moment comes out at 0.0 μB per cell. The electronic total energy comes out at -3.0235 eV per atom. The space-group type is No. 123. The value obtained for the excess energy over the best structure of this formula in the dataset is 0.000 eV/atom.

Structure (POSCAR):
```
SmZn2Pb
1.0
-0.9678 -4.3451 -0.8171
2.2478 0.2279 -3.8743
3.7606 -1.2343 2.1092
Zn Pb Sm
2 1 1
direct
0.0000 0.0000 0.5000
0.0000 0.5000 0.0000
0.5000 0.0000 0.0000
0.5000 0.5000 0.5000
```

---

KIn5 | GGA-PBE | optimized geometry

Properties
As for the formation enthalpy at 0 K: -0.01 eV per atom. The total magnetic moment comes out at 0.0 μB per cell. The electronic total energy comes out at -2.4737 eV per atom. The space-group type is No. 123. The value obtained for the excess energy over the best structure of this formula in the dataset is 0.039 eV/atom.

Structure (POSCAR):
```
KIn5
1.0
-0.4155 -3.2494 1.1602
3.4103 -0.2095 0.6346
-2.1881 5.0770 13.4357
In K
5 1
direct
0.0000 0.0000 0.8083
0.0000 0.0000 0.1917
0.0000 0.0000 0.5000
0.5000 0.5000 0.6581
0.5000 0.5000 0.3419
0.5000 0.5000 0.0000
```

---

KBa3Cu4Cl12 | GGA-PBE | optimized geometry

Properties
As for the uncorrected formation energy: -1.503 eV/atom. The total magnetic moment comes out at 1.1 μB per cell. The electronic total energy comes out at -3.7739 eV per atom. The space-group type is No. 155.

Structure (POSCAR):
```
KBa3Cu4Cl12
1.0
-8.2467 -4.2804 -0.6665
6.1573 -6.9841 0.2901
0.0708 3.4398 8.6566
Cl Cu Ba K
12 4 3 1
direct
0.6496 0.8044 0.0092
0.5000 0.3495 0.6505
0.8942 0.5000 0.1058
0.9908 0.1956 0.3504
0.3504 0.9908 0.1956
0.6505 0.5000 0.3495
0.3495 0.6505 0.5000
0.5000 0.1058 0.8942
0.1058 0.8942 0.5000
0.8044 0.0092 0.6496
0.1956 0.3504 0.9908
0.0092 0.6496 0.8044
0.5000 0.9500 0.0500
0.9500 0.0500 0.5000
0.0500 0.5000 0.9500
0.5000 0.5000 0.5000
0.5386 0.4614 0.0000
0.0000 0.5386 0.4614
0.4614 0.0000 0.5386
0.0000 0.0000 0.0000
```

---

KRbBaSn2 | GGA-PBE | optimized geometry

Properties
As for the formation enthalpy at 0 K: 0.37 eV per atom. The total magnetic moment comes out at 0.0 μB per cell. The electronic total energy comes out at -2.0308 eV per atom. The space-group type is No. 123.

Structure (POSCAR):
```
KRbBaSn2
1.0
-1.3362 -2.8873 5.2989
-3.9663 -3.6623 -2.9957
4.5442 -4.0525 -1.0623
Ba Rb Sn K
1 1 2 1
direct
0.0000 0.5000 0.0000
0.5000 0.5000 0.5000
0.5000 0.0000 0.0000
0.0000 0.0000 0.5000
0.0000 0.0000 0.0000
```

---

MgCoIr2 | GGA-PBE | optimized geometry

Properties
As for the formation enthalpy at 0 K: -0.02 eV per atom. The total magnetic moment comes out at 2.0 μB per cell. The electronic total energy comes out at -6.6214 eV per atom. The space-group type is No. 123.

Structure (POSCAR):
```
MgCoIr2
1.0
4.3206 0.0000 0.0000
0.0000 4.3206 0.0000
0.0000 0.0000 2.9561
Ir Co Mg
2 1 1
direct
0.5000 0.5000 0.0000
0.0000 0.0000 0.0000
0.0000 0.5000 0.5000
0.5000 0.0000 0.5000
```

---

K2CuRu | GGA-PBE | optimized geometry

Properties
As for the formation enthalpy at 0 K: 1.10 eV per atom. The total magnetic moment comes out at 0.0 μB per cell. The electronic total energy comes out at -2.7921 eV per atom. The space-group type is No. 12. The value obtained for the excess energy over the best structure of this formula in the dataset is 0.403 eV/atom.

Structure (POSCAR):
```
K2CuRu
1.0
5.7214 0.0085 -0.1165
5.0565 2.6771 -0.1165
0.6046 0.1506 5.5592
K Cu Ru
2 1 1
direct
0.4995 0.4995 0.4995
0.0005 0.0005 0.0005
0.2500 0.2500 0.2500
0.7500 0.7500 0.7500
```

---

La2Dy3Sn4 | GGA-PBE | optimized geometry

Properties
As for the formation enthalpy at 0 K: -0.67 eV per atom. The total magnetic moment comes out at 0.0 μB per cell. The electronic total energy comes out at -5.0799 eV per atom. The space-group type is No. 64. The value obtained for the excess energy over the best structure of this formula in the dataset is 0.144 eV/atom.

Structure (POSCAR):
```
La2Dy3Sn4
1.0
7.1100 0.0000 0.0000
0.0000 8.9849 0.0000
-3.5550 0.0000 8.6542
La Sn Dy
4 8 6
direct
0.3894 0.0880 0.7788
0.6106 0.9120 0.2212
0.8894 0.4120 0.7788
0.1106 0.5880 0.2212
0.2175 0.7500 0.9350
0.6863 0.5545 0.3725
0.2825 0.2500 0.0650
0.1863 0.9455 0.3725
0.8138 0.0545 0.6275
0.7825 0.2500 0.0650
0.7175 0.7500 0.9350
0.3137 0.4455 0.6275
0.0000 0.0000 0.0000
0.4576 0.2500 0.4151
0.5000 0.5000 0.0000
0.0424 0.7500 0.5849
0.5424 0.7500 0.5849
0.9576 0.2500 0.4151
```

---

Y4P3Cl | GGA-PBE | optimized geometry

Properties
As for the uncorrected formation energy: -1.641 eV/atom. The total magnetic moment comes out at 0.0 μB per cell. The electronic total energy comes out at -7.1328 eV per atom. The space-group type is No. 65.

Structure (POSCAR):
```
Y4P3Cl
1.0
3.9984 -0.0499 0.0678
0.0507 6.6761 1.9335
-0.1128 0.3722 6.9398
P Y Cl
3 4 1
direct
0.9999 0.5001 0.5000
0.4999 0.0001 0.5000
0.9999 0.0001 0.0000
0.0000 0.7708 0.7292
0.9999 0.2294 0.2707
0.5000 0.7591 0.2591
0.4999 0.2410 0.7409
0.5000 0.5002 0.9999
```